No. 1
The following is a DFT calculation (PBE-GGA) of crystalline DyEr2Th at its relaxed geometry.

The structure in POSCAR format:
```
DyEr2Th
1.0
5.006 0.000 0.000
0.000 5.006 0.000
0.000 0.000 4.974
Dy Er Th
1 2 1
Direct
0.000 0.000 0.000
0.000 0.500 0.500
0.500 0.000 0.500
0.500 0.500 0.000
```

Computed properties:
Its symmetry is P4/mmm, No. 123. Its calculated total energy is -0.38587 Ry per atom. The density of states at the Fermi level comes out at 6.1 states/eV/f.u.

---

No. 2
The following is a DFT calculation (PBE-GGA) of crystalline Dy12Er6Th at its relaxed geometry.

The structure in POSCAR format:
```
Dy12Er6Th
1.0
5.925 3.421 5.012
-5.925 3.421 5.012
0.000 -6.841 5.012
Dy Er Th
12 6 1
Direct
0.010 0.351 0.207
0.207 0.010 0.351
0.224 0.562 0.458
0.351 0.207 0.010
0.438 0.542 0.776
0.458 0.224 0.562
0.542 0.776 0.438
0.562 0.458 0.224
0.649 0.793 0.990
0.776 0.438 0.542
0.793 0.990 0.649
0.990 0.649 0.793
0.093 0.255 0.691
0.255 0.691 0.093
0.309 0.907 0.745
0.691 0.093 0.255
0.745 0.309 0.907
0.907 0.745 0.309
0.000 0.000 0.000
```

Computed properties:
Its symmetry is R-3, No. 148. Its calculated total energy is -0.33756 Ry per atom. The density of states at the Fermi level comes out at 33.0 states/eV/f.u.

---

No. 3
The following is a DFT calculation (PBE-GGA) of crystalline Dy8Er2Th3 at its relaxed geometry.

The structure in POSCAR format:
```
Dy8Er2Th3
1.0
11.041 -3.407 0.000
11.041 3.407 0.000
-0.584 0.000 6.016
Dy Er Th
8 2 3
Direct
0.118 0.118 0.347
0.129 0.623 0.147
0.339 0.339 0.647
0.377 0.871 0.853
0.623 0.129 0.147
0.661 0.661 0.353
0.871 0.377 0.853
0.882 0.882 0.653
0.245 0.245 0.107
0.755 0.755 0.893
0.260 0.740 0.500
0.500 0.500 0.000
0.740 0.260 0.500
```

Computed properties:
Its symmetry is C2/m, No. 12. Its calculated total energy is -0.35789 Ry per atom. The density of states at the Fermi level comes out at 21.0 states/eV/f.u.

---

Polymorph energy (0 for the lowest one), respectively: 0.0452, 0.0000, 0.0895 eV/atom.
DFT formation energy, respectively: 0.037, 0.145, 0.377 eV per atom.